An optimized crystal structure of CuIrS2. Source: Alexandria via LeMat-Bulk, functional PBE-GGA. Values from VASP.

Uncorrected formation energy   -85 meV/atom
Crystal system   trigonal
Symmetry   No. 156

Geometry as Quantum ESPRESSO input:
```
&SYSTEM
  ibrav = 0, nat = 4, ntyp = 3
/
ATOMIC_SPECIES
Cu 63.55 Cu.upf
S 32.06 S.upf
Ir 192.22 Ir.upf
CELL_PARAMETERS angstrom
-1.322 -0.535 3.336
-1.707 -1.409 -2.875
3.696 -5.625 0.562
ATOMIC_POSITIONS crystal
Cu 0.000 0.000 0.753
S 0.667 0.333 0.351
S 0.333 0.667 0.855
Ir 0.333 0.667 0.496
```